1.
The following is a DFT calculation (PBE-GGA) of a relaxed structure of ZnSi.

Results
ρ, g/cm³: 3.48
Total magnetization, μB per formula unit: 0.000
Space-group type: P4_2/mnm, No. 136
Formation energy without anion corrections, kJ/mol of atoms: 38

Lattice parameters (Å, degrees): 6.630 6.630 4.060 90.00 90.00 90.00
Positions (direct):
Si 0.124 0.124 0.500
Si 0.876 0.876 0.500
Si 0.376 0.624 0.000
Si 0.624 0.376 0.000
Zn 0.740 0.740 0.000
Zn 0.260 0.260 0.000
Zn 0.240 0.760 0.500
Zn 0.760 0.240 0.500

***

2.
The following is a DFT calculation (PBE-GGA) of a relaxed structure of Zn2Si.

Results
ρ, g/cm³: 5.42
Total magnetization, μB per formula unit: 0.000
Space-group type: Fd-3m, No. 227
Formation energy without anion corrections, kJ/mol of atoms: 36

Lattice parameters (Å, degrees): 5.164 5.164 5.164 60.00 60.00 60.00
Positions (direct):
Zn 0.125 0.625 0.125
Zn 0.125 0.125 0.125
Zn 0.125 0.125 0.625
Zn 0.625 0.125 0.125
Si 0.750 0.750 0.750
Si 0.500 0.500 0.500

***

3.
The following is a DFT calculation (PBE-GGA) of a relaxed structure of ZnSi3.

Results
ρ, g/cm³: 4.03
Total magnetization, μB per formula unit: 0.000
Space-group type: Immm, No. 71
Formation energy without anion corrections, kJ/mol of atoms: 40

Lattice parameters (Å, degrees): 5.620 5.620 5.620 151.10 133.66 55.54
Positions (direct):
Si 0.000 0.500 0.500
Si 0.217 0.217 0.000
Si 0.783 0.783 0.000
Zn 0.500 0.000 0.500

***

4.
The following is a DFT calculation (PBE-GGA) of a relaxed structure of Zn3Si.

Results
ρ, g/cm³: 5.88
Total magnetization, μB per formula unit: 0.000
Space-group type: R-3m, No. 166
Formation energy without anion corrections, kJ/mol of atoms: 12

Lattice parameters (Å, degrees): 10.957 10.957 10.957 13.61 13.61 13.61
Positions (direct):
Zn 0.747 0.747 0.747
Zn 0.500 0.500 0.500
Zn 0.253 0.253 0.253
Si 0.000 0.000 0.000

***

5.
The following is a DFT calculation (PBE-GGA) of a relaxed structure of ZnSi3.

Results
ρ, g/cm³: 3.98
Total magnetization, μB per formula unit: 0.000
Space-group type: Cmmm, No. 65
Formation energy without anion corrections, kJ/mol of atoms: 34

Lattice parameters (Å, degrees): 3.750 3.750 4.459 90.00 90.00 94.60
Positions (direct):
Zn 0.000 0.000 0.500
Si 0.739 0.261 0.000
Si 0.261 0.739 0.000
Si 0.500 0.500 0.500

***

6.
The following is a DFT calculation (PBE-GGA) of a relaxed structure of Zn3Si.

Results
ρ, g/cm³: 5.88
Total magnetization, μB per formula unit: 0.000
Space-group type: P4/mmm, No. 123
Formation energy without anion corrections, kJ/mol of atoms: 26

Lattice parameters (Å, degrees): 4.551 4.551 3.059 90.00 90.00 90.00
Positions (direct):
Zn 0.500 0.000 0.500
Zn 0.000 0.500 0.500
Zn 0.500 0.500 0.000
Si 0.000 0.000 0.000